No. 1
# Ti5Co6Ni | the Alexandria database | PBE | optimized geometry
data_Ti5Co6Ni
_cell_length_a 4.0381
_cell_length_b 6.2380
_cell_length_c 12.0037
_cell_angle_alpha 90.00
_cell_angle_beta 90.00
_cell_angle_gamma 90.00
_symmetry_space_group_name_H-M 'I m m m'
_symmetry_Int_Tables_number 71
_symmetry_space_group_name_Hall '-I 2 2'
loop_
_atom_site_label
_atom_site_fract_x
_atom_site_fract_y
_atom_site_fract_z
Ti1 0.0000 0.0000 0.0000
Ti2 0.0000 0.0000 0.3579
Ti3 0.0000 0.5000 0.3220
Co1 0.0000 0.2348 0.1689
Co2 0.0000 0.2808 0.5000
Ni1 0.0000 0.5000 0.0000
# * D(E_F): 16.361 states/eV/cell
# * density: 7.16 g/cm³
# * energy of formation from the pure elements: -0.38 eV per atom

No. 2
# Ti2Co3Ni | the Alexandria database | PBE | optimized geometry
data_Ti2Co3Ni
_cell_length_a 4.7184
_cell_length_b 4.7184
_cell_length_c 11.5522
_cell_angle_alpha 90.00
_cell_angle_beta 90.00
_cell_angle_gamma 120.00
_symmetry_space_group_name_H-M 'R -3 m'
_symmetry_Int_Tables_number 166
_symmetry_space_group_name_Hall '-R 3 2"'
loop_
_atom_site_label
_atom_site_fract_x
_atom_site_fract_y
_atom_site_fract_z
Ti1 0.0000 0.0000 0.1238
Co1 0.0000 0.5000 0.0000
Ni1 0.0000 0.0000 0.5000
# * D(E_F): 24.287 states/eV/cell
# * density: 7.41 g/cm³
# * energy of formation from the pure elements: -0.31 eV per atom

No. 3
# Ti4CoNi2 | the Alexandria database | PBE | optimized geometry
data_Ti4CoNi2
_cell_length_a 4.1757
_cell_length_b 4.1757
_cell_length_c 20.2365
_cell_angle_alpha 90.00
_cell_angle_beta 90.00
_cell_angle_gamma 120.00
_symmetry_space_group_name_H-M 'R -3 m'
_symmetry_Int_Tables_number 166
_symmetry_space_group_name_Hall '-R 3 2"'
loop_
_atom_site_label
_atom_site_fract_x
_atom_site_fract_y
_atom_site_fract_z
Ti1 0.0000 0.0000 0.1159
Ti2 0.0000 0.0000 0.3676
Co1 0.0000 0.0000 0.5000
Ni1 0.0000 0.0000 0.2386
# * D(E_F): 18.698 states/eV/cell
# * density: 6.00 g/cm³
# * energy of formation from the pure elements: -0.24 eV per atom

No. 4
# Ti2Co2Ni | the Alexandria database | PBE | optimized geometry
data_Ti2Co2Ni
_cell_length_a 3.3030
_cell_length_b 3.9132
_cell_length_c 9.9589
_cell_angle_alpha 90.00
_cell_angle_beta 99.58
_cell_angle_gamma 90.00
_symmetry_space_group_name_H-M 'P 1 21/m 1'
_symmetry_Int_Tables_number 11
loop_
_symmetry_equiv_pos_as_xyz
'x,y,z'
'-x,-y,-z'
'-x,y+1/2,-z'
'x,-y+1/2,z'
loop_
_atom_site_label
_atom_site_fract_x
_atom_site_fract_y
_atom_site_fract_z
Ti1 0.0528 0.2500 0.1065
Ti2 0.1656 0.7500 0.3314
Co1 0.2485 0.2500 0.4972
Co2 0.4489 0.2500 0.8982
Ni1 0.3507 0.7500 0.7004
# * D(E_F): 8.841 states/eV/cell
# * density: 7.12 g/cm³
# * energy of formation from the pure elements: -0.32 eV per atom

No. 5
# Ti6CoNi3 | the Alexandria database | PBE | optimized geometry
data_Ti6CoNi3
_cell_length_a 7.3412
_cell_length_b 4.3095
_cell_length_c 9.4603
_cell_angle_alpha 90.00
_cell_angle_beta 108.15
_cell_angle_gamma 90.00
_symmetry_space_group_name_H-M 'P 1 21/m 1'
_symmetry_Int_Tables_number 11
loop_
_symmetry_equiv_pos_as_xyz
'x,y,z'
'-x,-y,-z'
'-x,y+1/2,-z'
'x,-y+1/2,z'
loop_
_atom_site_label
_atom_site_fract_x
_atom_site_fract_y
_atom_site_fract_z
Ti1 0.0209 0.2500 0.4006
Ti2 0.1643 0.7500 0.1849
Ti3 0.2516 0.2500 0.0034
Ti4 0.3435 0.7500 0.8168
Ti5 0.3793 0.2500 0.3269
Ti6 0.3844 0.2500 0.6165
Co1 0.4591 0.7500 0.1012
Ni1 0.0262 0.7500 0.8732
Ni2 0.1181 0.2500 0.7273
Ni3 0.2572 0.7500 0.4656
# * D(E_F): 23.415 states/eV/cell
# * density: 6.10 g/cm³
# * energy of formation from the pure elements: -0.26 eV per atom

No. 6
# Ti4Co3Ni2 | the Alexandria database | PBE | optimized geometry
data_Ti4Co3Ni2
_cell_length_a 7.9837
_cell_length_b 3.8724
_cell_length_c 7.7285
_cell_angle_alpha 90.00
_cell_angle_beta 101.41
_cell_angle_gamma 90.00
_symmetry_space_group_name_H-M 'C 1 2/m 1'
_symmetry_Int_Tables_number 12
loop_
_symmetry_equiv_pos_as_xyz
'x,y,z'
'-x,-y,-z'
'-x,y,-z'
'x,-y,z'
'x+1/2,y+1/2,z'
'-x+1/2,-y+1/2,-z'
'-x+1/2,y+1/2,-z'
'x+1/2,-y+1/2,z'
loop_
_atom_site_label
_atom_site_fract_x
_atom_site_fract_y
_atom_site_fract_z
Ti1 0.0444 0.0000 0.3444
Ti2 0.1513 0.5000 0.8803
Co1 0.0000 0.0000 0.0000
Co2 0.1563 0.5000 0.5621
Ni1 0.1901 0.5000 0.2196
# * D(E_F): 15.914 states/eV/cell
# * density: 6.89 g/cm³
# * energy of formation from the pure elements: -0.30 eV per atom

No. 7
# TiCo2Ni | the Alexandria database | PBE | optimized geometry
data_TiCo2Ni
_cell_length_a 3.4909
_cell_length_b 3.4909
_cell_length_c 16.8791
_cell_angle_alpha 90.00
_cell_angle_beta 90.00
_cell_angle_gamma 90.00
_symmetry_space_group_name_H-M 'I -4 2 d'
_symmetry_Int_Tables_number 122
_symmetry_space_group_name_Hall 'I -4 2bw'
loop_
_atom_site_label
_atom_site_fract_x
_atom_site_fract_y
_atom_site_fract_z
Ti1 0.0000 0.0000 0.0000
Co1 0.2265 0.2500 0.6250
Ni1 0.0000 0.0000 0.5000
# * D(E_F): 21.202 states/eV/cell
# * density: 7.25 g/cm³
# * energy of formation from the pure elements: 0.16 eV per atom

No. 8
# Ti2CoNi3 | the Alexandria database | PBE | optimized geometry
data_Ti2CoNi3
_cell_length_a 7.7827
_cell_length_b 7.7827
_cell_length_c 10.9668
_cell_angle_alpha 90.00
_cell_angle_beta 90.00
_cell_angle_gamma 90.00
_symmetry_space_group_name_H-M 'I 41/a m d'
_symmetry_Int_Tables_number 141
loop_
_symmetry_equiv_pos_as_xyz
'x,y,z'
'-x,-y,-z'
'-y+1/4,x+3/4,z+1/4'
'y+1/4,-x+3/4,-z+1/4'
'-x+1/2,-y,z+1/2'
'x+1/2,y,-z+1/2'
'y+1/4,-x+1/4,z+3/4'
'-y+1/4,x+1/4,-z+3/4'
'x,-y,-z'
'-x,y,z'
'-y+1/4,-x+1/4,-z+3/4'
'y+1/4,x+1/4,z+3/4'
'-x+1/2,y,-z+1/2'
'x+1/2,-y,z+1/2'
'y+1/4,x+3/4,-z+1/4'
'-y+1/4,-x+3/4,z+1/4'
'x+1/2,y+1/2,z+1/2'
'-x+1/2,-y+1/2,-z+1/2'
'-y+3/4,x+1/4,z+3/4'
'y+3/4,-x+1/4,-z+3/4'
'-x,-y+1/2,z'
'x,y+1/2,-z'
'y+3/4,-x+3/4,z+1/4'
'-y+3/4,x+3/4,-z+1/4'
'x+1/2,-y+1/2,-z+1/2'
'-x+1/2,y+1/2,z+1/2'
'-y+3/4,-x+3/4,-z+1/4'
'y+3/4,x+3/4,z+1/4'
'-x,y+1/2,-z'
'x,-y+1/2,z'
'y+3/4,x+1/4,-z+3/4'
'-y+3/4,-x+1/4,z+3/4'
loop_
_atom_site_label
_atom_site_fract_x
_atom_site_fract_y
_atom_site_fract_z
Ti1 0.0000 0.0506 0.2734
Co1 0.0000 0.2500 0.0984
Ni1 0.0000 0.0000 0.5000
Ni2 0.2209 0.0291 0.8750
# * D(E_F): 27.320 states/eV/cell
# * density: 6.61 g/cm³
# * energy of formation from the pure elements: -0.06 eV per atom

> The lowest D(E_F) belongs to which entry?

Ti2Co2Ni